Ho2Tl3InSe6 after structural relaxation, computed with PBE.

Cell: 7.181 7.181 8.147 Å, 98.49 98.49 119.95°
Sites, in units of the cell vectors:
Ho 0.334 0.666 0.000
Ho 0.666 0.334 0.000
Tl 0.170 0.830 0.500
Tl 0.830 0.170 0.500
Tl 0.500 0.500 0.500
In 0.000 0.000 0.000
Se 0.933 0.606 0.799
Se 0.740 0.740 0.205
Se 0.067 0.394 0.201
Se 0.606 0.933 0.799
Se 0.260 0.260 0.795
Se 0.394 0.067 0.201

- D(E_F) (states/eV per atom) = 0.003
- formation energy without anion corrections (eV per atom) = -1.07
- crystal system = monoclinic
- M_tot (μB per formula unit) = 0.00

Ho3Tl4InSe8 after structural relaxation, computed with PBE.

Cell: 8.309 9.130 8.310 Å, 117.08 120.00 90.00°
Sites, in units of the cell vectors:
Ho 0.500 0.500 0.000
Ho 0.500 0.500 0.500
Ho 0.000 0.500 0.500
Tl 0.500 0.000 0.000
Tl 0.500 0.000 0.500
Tl 0.000 0.000 0.000
Tl 0.000 0.000 0.500
In 0.000 0.500 0.000
Se 0.233 0.703 0.970
Se 0.233 0.703 0.465
Se 0.265 0.296 0.531
Se 0.738 0.703 0.970
Se 0.262 0.297 0.030
Se 0.735 0.704 0.469
Se 0.767 0.297 0.535
Se 0.767 0.297 0.030

- D(E_F) (states/eV per atom) = 0.025
- formation energy without anion corrections (eV per atom) = -1.15
- crystal system = trigonal
- M_tot (μB per formula unit) = 0.00

HoTm2In3Se6 after structural relaxation, computed with PBE.

Cell: 7.116 7.116 8.111 Å, 98.41 98.41 120.00°
Sites, in units of the cell vectors:
Ho 0.000 0.000 0.000
Tm 0.333 0.667 0.000
Tm 0.667 0.333 0.000
In 0.166 0.834 0.500
In 0.834 0.166 0.500
In 0.500 0.500 0.500
Se 0.931 0.596 0.794
Se 0.733 0.733 0.205
Se 0.069 0.404 0.206
Se 0.596 0.931 0.794
Se 0.267 0.267 0.795
Se 0.404 0.069 0.206

- formation energy without anion corrections (eV per atom) = -1.29
- crystal system = monoclinic
- M_tot (μB per formula unit) = 0.00

Ho2TmIn3Se6 after structural relaxation, computed with PBE.

Cell: 7.137 7.137 8.107 Å, 98.44 98.44 120.00°
Sites, in units of the cell vectors:
Ho 0.333 0.667 0.000
Ho 0.667 0.333 0.000
Tm 0.000 0.000 0.000
In 0.167 0.833 0.500
In 0.833 0.167 0.500
In 0.500 0.500 0.500
Se 0.931 0.600 0.794
Se 0.738 0.738 0.207
Se 0.069 0.400 0.206
Se 0.600 0.931 0.794
Se 0.262 0.262 0.793
Se 0.400 0.069 0.206

- formation energy without anion corrections (eV per atom) = -1.29
- crystal system = monoclinic
- M_tot (μB per formula unit) = 0.00